1.
This record from Alexandria via LeMat-Bulk describes crystalline La2YAl2 at its relaxed geometry. The functional is PBE.

a = 7.981 Å, b = 7.981 Å, c = 4.710 Å
α = 90.00°, β = 90.00°, γ = 90.00°
Atoms (fractional coordinates):
1 Y 0.000 0.000 0.000
2 Y 0.500 0.500 0.000
3 Al 0.381 0.881 0.000
4 Al 0.881 0.619 0.000
5 Al 0.619 0.119 0.000
6 Al 0.119 0.381 0.000
7 La 0.173 0.673 0.500
8 La 0.673 0.827 0.500
9 La 0.827 0.327 0.500
10 La 0.327 0.173 0.500

## Properties
- ρ (kg/m3) = 4656
- relative energy among the computed polymorphs (kJ/mol of atoms) = 1.9
- density of states at the Fermi level (states/eV per cell) = 14.642
- formation energy from the elements (eV per atom) = -0.29
- SG = P4/mbm, No. 127

2.
This record from Alexandria via LeMat-Bulk describes crystalline LaY2Al at its relaxed geometry. The functional is PBE.

a = 10.955 Å, b = 10.955 Å, c = 10.955 Å
α = 19.14°, β = 19.14°, γ = 19.14°
Atoms (fractional coordinates):
1 Y 0.997 0.997 0.997
2 Y 0.239 0.239 0.239
3 Al 0.502 0.502 0.502
4 La 0.762 0.762 0.762

## Properties
- ρ (kg/m3) = 4621
- density of states at the Fermi level (states/eV per cell) = 5.341
- formation energy from the elements (eV per atom) = -0.02
- SG = R3m, No. 160

3.
This record from Alexandria via LeMat-Bulk describes crystalline La2YAl2 at its relaxed geometry. The functional is PBE.

a = 9.058 Å, b = 9.058 Å, c = 3.450 Å
α = 90.00°, β = 90.00°, γ = 90.00°
Atoms (fractional coordinates):
1 Y 0.000 0.000 0.000
2 Y 0.500 0.500 0.000
3 Al 0.176 0.676 0.500
4 Al 0.676 0.824 0.500
5 Al 0.824 0.324 0.500
6 Al 0.324 0.176 0.500
7 La 0.381 0.881 0.000
8 La 0.881 0.619 0.000
9 La 0.619 0.119 0.000
10 La 0.119 0.381 0.000

## Properties
- ρ (kg/m3) = 4936
- relative energy among the computed polymorphs (kJ/mol of atoms) = 20.4
- density of states at the Fermi level (states/eV per cell) = 16.489
- formation energy from the elements (eV per atom) = -0.10
- SG = P4/mbm, No. 127